Here is MgMnAu2O6 after structural relaxation from Alexandria via LeMat-Bulk. Energies are from PBE+U.

Cell: 7.006 7.006 5.128 Å, 94.88 94.88 86.48°
Atoms (fractional coordinates):
Mg 0.077 0.923 0.750
Mg 0.923 0.077 0.250
Mn 0.262 0.738 0.250
Mn 0.738 0.262 0.750
Au 0.109 0.424 0.755
Au 0.424 0.109 0.255
Au 0.576 0.891 0.745
Au 0.891 0.576 0.245
O 0.009 0.200 0.923
O 0.110 0.659 0.532
O 0.200 0.009 0.423
O 0.294 0.503 0.058
O 0.341 0.890 0.968
O 0.497 0.706 0.442
O 0.503 0.294 0.558
O 0.659 0.110 0.032
O 0.706 0.497 0.942
O 0.800 0.991 0.577
O 0.890 0.341 0.468
O 0.991 0.800 0.077

The value obtained for the volume is 249.5 Å³ per cell. For the magnetization, the calculation gives 5.99 Bohr magnetons per cell. The total energy comes out at -107.48 eV/cell.